No. 1
The following is a DFT calculation (GGA-PBE) of SrZrAgAu after structural relaxation.

Calculated values
- Calculated volume: 21.6 Å³/atom
- Crystal system: cubic
- Relative energy among the computed polymorphs: 159 meV/atom
- Final energy: -0.1485 hartree per atom

Cell lengths 7.014, 7.014, 7.014 Å; angles 90.00, 90.00, 90.00 degrees
Space group F-43m (No. 216)
Asymmetric unit:
Sr  0.000  0.000  0.000 (multiplicity 4)
Zr  0.250  0.250  0.250 (multiplicity 4)
Ag  0.250  0.250  0.750 (multiplicity 4)
Au  0.000  0.000  0.500 (multiplicity 4)


No. 2
The following is a DFT calculation (GGA-PBE) of SrZrAgAu after structural relaxation.

Calculated values
- Calculated volume: 23.8 Å³/atom
- Crystal system: cubic
- Relative energy among the computed polymorphs: 0 meV/atom
- Final energy: -0.1543 hartree per atom

Cell lengths 7.250, 7.250, 7.250 Å; angles 90.00, 90.00, 90.00 degrees
Space group F-43m (No. 216)
Asymmetric unit:
Sr  0.000  0.000  0.000 (multiplicity 4)
Zr  0.000  0.000  0.500 (multiplicity 4)
Ag  0.250  0.250  0.250 (multiplicity 4)
Au  0.250  0.250  0.750 (multiplicity 4)


No. 3
The following is a DFT calculation (GGA-PBE) of TaAgAu after structural relaxation.

Calculated values
- Calculated volume: 20.4 Å³/atom
- Crystal system: cubic
- Calculated formation energy: 0.535 eV/atom
- Relative energy among the computed polymorphs: 0 meV/atom
- Final energy: -0.2001 hartree per atom

Cell lengths 6.253, 6.253, 6.253 Å; angles 90.00, 90.00, 90.00 degrees
Space group F-43m (No. 216)
Asymmetric unit:
Ta  0.000  0.000  0.000 (multiplicity 4)
Ag  0.000  0.000  0.500 (multiplicity 4)
Au  0.250  0.250  0.750 (multiplicity 4)